[1]
# YIn2Cu2, optimized geometry, DFT GGA-PBE
data_YIn2Cu2
_cell_length_a 7.517
_cell_length_b 7.517
_cell_length_c 3.618
_cell_angle_alpha 90.00
_cell_angle_beta 90.00
_cell_angle_gamma 90.00
_space_group_name_H-M_alt 'P 4/m b m'
_space_group_IT_number 127
_space_group_name_Hall '-P 4 2ab'
loop_
_atom_site_label
_atom_site_type_symbol
_atom_site_fract_x
_atom_site_fract_y
_atom_site_fract_z
Y1 Y 0.000 0.000 0.000
In1 In 0.179 0.321 0.500
Cu1 Cu 0.116 0.616 0.000
# * formation energy: -0.1236 eV/atom

***

[2]
# CuNi2W2, optimized geometry, DFT GGA-PBE
data_CuNi2W2
_cell_length_a 7.113
_cell_length_b 7.113
_cell_length_c 2.709
_cell_angle_alpha 90.00
_cell_angle_beta 90.00
_cell_angle_gamma 90.00
_space_group_name_H-M_alt 'P 4/m b m'
_space_group_IT_number 127
_space_group_name_Hall '-P 4 2ab'
loop_
_atom_site_label
_atom_site_type_symbol
_atom_site_fract_x
_atom_site_fract_y
_atom_site_fract_z
Cu1 Cu 0.000 0.000 0.000
Ni1 Ni 0.120 0.380 0.000
W1 W 0.175 0.675 0.500
# * formation energy: 0.2871 eV/atom

***

[3]
# Pa2TcPdN5, optimized geometry, DFT GGA-PBE
data_Pa2TcPdN5
_cell_length_a 3.350
_cell_length_b 13.232
_cell_length_c 9.961
_cell_angle_alpha 90.00
_cell_angle_beta 90.00
_cell_angle_gamma 90.00
_space_group_name_H-M_alt 'C m c 21'
_space_group_IT_number 36
_space_group_name_Hall 'C 2c -2'
loop_
_atom_site_label
_atom_site_type_symbol
_atom_site_fract_x
_atom_site_fract_y
_atom_site_fract_z
Pa1 Pa 0.000 0.112 0.000
Pa2 Pa 0.000 0.145 0.616
Tc1 Tc 0.000 0.191 0.329
Pd1 Pd 0.000 0.482 0.772
N1 N 0.000 0.057 0.388
N2 N 0.000 0.287 0.954
N3 N 0.000 0.308 0.645
N4 N 0.000 0.358 0.315
N5 N 0.000 0.487 0.070
# * E_form (uncorrected): -0.67 eV/atom

***

no.,size of the total moment (μB per cell)
1,0.00
2,0.00
3,0.00